(1)
Compound: BaScTl
Source: the Alexandria database
Functional: PBEsol
Structure: optimized geometry

Unit cell a=7.5999 b=7.5999 c=7.5999 alpha=90.00 beta=90.00 gamma=90.00
Element x y z (fractional)
Ba 0.0000 0.0000 0.0000
Ba 0.0000 0.5000 0.5000
Ba 0.5000 0.0000 0.5000
Ba 0.5000 0.5000 0.0000
Sc 0.0000 0.0000 0.5000
Sc 0.0000 0.5000 0.0000
Sc 0.5000 0.0000 0.0000
Sc 0.5000 0.5000 0.5000
Tl 0.2500 0.2500 0.2500
Tl 0.2500 0.7500 0.7500
Tl 0.7500 0.2500 0.7500
Tl 0.7500 0.7500 0.2500

Results
E_form = 12.24 kJ/mol of atoms
Energy above the lowest structure with this stoichiometry = 450.4 meV per atom
SG = No. 216

=====

(2)
Compound: RbLi3Mg
Source: the Alexandria database
Functional: PBEsol
Structure: optimized geometry

Unit cell a=5.6341 b=5.6341 c=5.6341 alpha=90.00 beta=90.00 gamma=90.00
Element x y z (fractional)
Rb 0.0000 0.0000 0.0000
Li 0.0000 0.5000 0.5000
Li 0.5000 0.0000 0.5000
Li 0.5000 0.5000 0.0000
Mg 0.5000 0.5000 0.5000

Results
E_form = 23.54 kJ/mol of atoms
SG = No. 221

=====

(3)
Compound: YN2OF
Source: the Alexandria database
Functional: PBEsol
Structure: optimized geometry

Unit cell a=3.4711 b=3.4711 c=4.1959 alpha=90.00 beta=90.00 gamma=90.00
Element x y z (fractional)
Y 0.0000 0.0000 0.0000
N 0.0000 0.5000 0.5000
N 0.5000 0.0000 0.5000
O 0.5000 0.5000 0.5000
F 0.5000 0.5000 0.0000

Results
SG = No. 123
Raw formation energy = -0.140 eV/f.u.

=====

(4)
Compound: K3Se2O8
Source: the Alexandria database
Functional: PBEsol
Structure: optimized geometry

Unit cell a=6.4720 b=6.4720 c=7.5927 alpha=90.00 beta=90.00 gamma=120.00
Element x y z (fractional)
K 0.0000 0.0000 0.0000
K 0.3333 0.6667 0.1875
K 0.6667 0.3333 0.8125
Se 0.3333 0.6667 0.7391
Se 0.6667 0.3333 0.2609
O 0.1950 0.3900 0.8197
O 0.1950 0.8050 0.8197
O 0.3333 0.6667 0.5222
O 0.3900 0.1950 0.1803
O 0.6100 0.8050 0.8197
O 0.6667 0.3333 0.4778
O 0.8050 0.1950 0.1803
O 0.8050 0.6100 0.1803

Results
Energy above the lowest structure with this stoichiometry = 79.5 meV per atom
SG = No. 164
Raw formation energy = -14.142 eV/f.u.

=====

(5)
Compound: Hg2MoAs
Source: the Alexandria database
Functional: PBEsol
Structure: optimized geometry

Unit cell a=3.1372 b=3.1372 c=27.2145 alpha=90.00 beta=90.00 gamma=120.00
Element x y z (fractional)
Hg 0.0000 0.0000 0.0000
Hg 0.0000 0.0000 0.2411
Hg 0.3333 0.6667 0.6667
Hg 0.3333 0.6667 0.9078
Hg 0.6667 0.3333 0.3333
Hg 0.6667 0.3333 0.5745
Mo 0.0000 0.0000 0.7508
Mo 0.3333 0.6667 0.4175
Mo 0.6667 0.3333 0.0841
As 0.0000 0.0000 0.4803
As 0.3333 0.6667 0.1469
As 0.6667 0.3333 0.8136

Results
E_form = 14.87 kJ/mol of atoms
SG = No. 160

=====

(6)
Compound: CaBe2Mo
Source: the Alexandria database
Functional: PBEsol
Structure: optimized geometry

Unit cell a=6.2208 b=6.2208 c=6.2208 alpha=90.00 beta=90.00 gamma=90.00
Element x y z (fractional)
Ca 0.0000 0.0000 0.0000
Ca 0.0000 0.5000 0.5000
Ca 0.5000 0.0000 0.5000
Ca 0.5000 0.5000 0.0000
Be 0.0000 0.0000 0.5000
Be 0.0000 0.5000 0.0000
Be 0.2500 0.2500 0.7500
Be 0.2500 0.7500 0.2500
Be 0.5000 0.0000 0.0000
Be 0.5000 0.5000 0.5000
Be 0.7500 0.2500 0.2500
Be 0.7500 0.7500 0.7500
Mo 0.2500 0.2500 0.2500
Mo 0.2500 0.7500 0.7500
Mo 0.7500 0.2500 0.7500
Mo 0.7500 0.7500 0.2500

Results
E_form = 100.00 kJ/mol of atoms
Energy above the lowest structure with this stoichiometry = 197.5 meV per atom
SG = No. 216

=====

(7)
Compound: KLi2In
Source: the Alexandria database
Functional: PBEsol
Structure: optimized geometry

Unit cell a=3.6463 b=3.6463 c=8.3163 alpha=90.00 beta=90.00 gamma=90.00
Element x y z (fractional)
K 0.0000 0.0000 0.0000
Li 0.5000 0.5000 0.3334
Li 0.5000 0.5000 0.6666
In 0.0000 0.0000 0.5000

Results
E_form = -6.65 kJ/mol of atoms
SG = No. 123

=====

(8)
Compound: LiZnHg2
Source: the Alexandria database
Functional: PBEsol
Structure: optimized geometry

Unit cell a=9.5022 b=3.4290 c=4.5846 alpha=90.00 beta=104.63 gamma=90.00
Element x y z (fractional)
Li 0.0000 0.0000 0.0000
Li 0.5000 0.5000 0.0000
Zn 0.2593 0.0000 0.7037
Zn 0.7593 0.5000 0.7037
Hg 0.0115 0.5000 0.5201
Hg 0.2421 0.5000 0.1779
Hg 0.5115 0.0000 0.5201
Hg 0.7421 0.0000 0.1779

Results
E_form = -17.44 kJ/mol of atoms
SG = No. 8

=====

(9)
Compound: FeP2
Source: the Alexandria database
Functional: PBEsol
Structure: optimized geometry

Unit cell a=2.6584 b=2.6584 c=10.7905 alpha=90.00 beta=90.00 gamma=90.00
Element x y z (fractional)
Fe 0.0000 0.0000 0.0000
Fe 0.5000 0.5000 0.5000
P 0.0000 0.0000 0.3693
P 0.0000 0.0000 0.6307
P 0.5000 0.5000 0.1307
P 0.5000 0.5000 0.8693

Results
E_form = -13.05 kJ/mol of atoms
SG = No. 139

=====

(10)
Compound: MgTl2Cd
Source: the Alexandria database
Functional: PBEsol
Structure: optimized geometry

Unit cell a=4.5586 b=4.5586 c=9.4455 alpha=90.00 beta=90.00 gamma=90.00
Element x y z (fractional)
Mg 0.0000 0.0000 0.0000
Mg 0.5000 0.5000 0.5000
Tl 0.0000 0.0000 0.5000
Tl 0.0000 0.5000 0.2500
Tl 0.5000 0.0000 0.7500
Tl 0.5000 0.5000 0.0000
Cd 0.0000 0.5000 0.7500
Cd 0.5000 0.0000 0.2500

Results
E_form = -0.07 kJ/mol of atoms
Energy above the lowest structure with this stoichiometry = 17.3 meV per atom
SG = No. 119

=====

(11)
Compound: Co3HAu
Source: the Alexandria database
Functional: PBEsol
Structure: optimized geometry

Unit cell a=3.6735 b=3.6735 c=3.6735 alpha=90.00 beta=90.00 gamma=90.00
Element x y z (fractional)
Co 0.0000 0.0000 0.5000
Co 0.0000 0.5000 0.0000
Co 0.5000 0.0000 0.0000
H 0.0000 0.0000 0.0000
Au 0.5000 0.5000 0.5000

Results
SG = No. 221

=====

(12)
Compound: NiIr2Os
Source: the Alexandria database
Functional: PBEsol
Structure: optimized geometry

Unit cell a=8.7974 b=2.6833 c=4.5748 alpha=90.00 beta=100.23 gamma=90.00
Element x y z (fractional)
Ni 0.0000 0.0000 0.0000
Ni 0.5000 0.5000 0.0000
Ir 0.2501 0.0000 0.7623
Ir 0.4994 0.0000 0.4899
Ir 0.7501 0.5000 0.7623
Ir 0.9994 0.5000 0.4899
Os 0.2501 0.5000 0.2526
Os 0.7501 0.0000 0.2526

Results
E_form = 5.89 kJ/mol of atoms
Energy above the lowest structure with this stoichiometry = 62.4 meV per atom
SG = No. 8

=====

(13)
Compound: SrAgHPb2
Source: the Alexandria database
Functional: PBEsol
Structure: optimized geometry

Unit cell a=5.3694 b=5.3694 c=3.9165 alpha=90.00 beta=90.00 gamma=90.00
Element x y z (fractional)
Sr 0.0000 0.0000 0.0000
Ag 0.5000 0.5000 0.0000
H 0.5000 0.5000 0.5000
Pb 0.0000 0.5000 0.5000
Pb 0.5000 0.0000 0.5000

Results
SG = No. 123

=====

(14)
Compound: Mn2SiS
Source: the Alexandria database
Functional: PBEsol
Structure: optimized geometry

Unit cell a=5.5478 b=5.5478 c=5.5478 alpha=90.00 beta=90.00 gamma=90.00
Element x y z (fractional)
Mn 0.2500 0.2500 0.2500
Mn 0.2500 0.2500 0.7500
Mn 0.2500 0.7500 0.2500
Mn 0.2500 0.7500 0.7500
Mn 0.7500 0.2500 0.2500
Mn 0.7500 0.2500 0.7500
Mn 0.7500 0.7500 0.2500
Mn 0.7500 0.7500 0.7500
Si 0.0000 0.0000 0.0000
Si 0.0000 0.5000 0.5000
Si 0.5000 0.0000 0.5000
Si 0.5000 0.5000 0.0000
S 0.0000 0.0000 0.5000
S 0.0000 0.5000 0.0000
S 0.5000 0.0000 0.0000
S 0.5000 0.5000 0.5000

Results
SG = No. 225
Raw formation energy = -0.543 eV/f.u.

=====

(15)
Compound: KTl2Sn2
Source: the Alexandria database
Functional: PBEsol
Structure: optimized geometry

Unit cell a=4.4677 b=4.4677 c=15.9416 alpha=90.00 beta=90.00 gamma=90.00
Element x y z (fractional)
K 0.0000 0.0000 0.0000
K 0.5000 0.5000 0.5000
Tl 0.0000 0.0000 0.3900
Tl 0.0000 0.0000 0.6100
Tl 0.5000 0.5000 0.1100
Tl 0.5000 0.5000 0.8900
Sn 0.0000 0.5000 0.2500
Sn 0.0000 0.5000 0.7500
Sn 0.5000 0.0000 0.2500
Sn 0.5000 0.0000 0.7500

Results
E_form = -8.63 kJ/mol of atoms
SG = No. 139

=====

(16)
Compound: CeHfO4
Source: the Alexandria database
Functional: PBEsol
Structure: optimized geometry

Unit cell a=6.4744 b=6.4744 c=5.1767 alpha=111.28 beta=111.28 gamma=113.36
Element x y z (fractional)
Ce 0.1339 0.8661 0.7500
Ce 0.8661 0.1339 0.2500
Hf 0.3996 0.6004 0.2500
Hf 0.6004 0.3996 0.7500
O 0.1006 0.5437 0.3230
O 0.2363 0.2822 0.7672
O 0.2822 0.2363 0.2672
O 0.4563 0.8994 0.1770
O 0.5437 0.1006 0.8230
O 0.7178 0.7637 0.7328
O 0.7637 0.7178 0.2328
O 0.8994 0.4563 0.6770

Results
SG = No. 15
Raw formation energy = -20.877 eV/f.u.

=====

(17)
Compound: CoTe2SN
Source: the Alexandria database
Functional: PBEsol
Structure: optimized geometry

Unit cell a=5.2265 b=5.2265 c=3.2697 alpha=90.00 beta=90.00 gamma=90.00
Element x y z (fractional)
Co 0.0000 0.0000 0.0000
Te 0.0000 0.5000 0.5000
Te 0.5000 0.0000 0.5000
S 0.5000 0.5000 0.5000
N 0.5000 0.5000 0.0000

Results
SG = No. 123
Raw formation energy = 5.125 eV/f.u.

=====

(18)
Compound: KGa2SiS
Source: the Alexandria database
Functional: PBEsol
Structure: optimized geometry

Unit cell a=5.5147 b=5.5147 c=5.3938 alpha=90.00 beta=90.00 gamma=90.00
Element x y z (fractional)
K 0.0000 0.0000 0.0000
Ga 0.0000 0.5000 0.0000
Ga 0.5000 0.0000 0.0000
Si 0.0000 0.0000 0.5000
S 0.5000 0.5000 0.5000

Results
SG = No. 123
Raw formation energy = 7.824 eV/f.u.

=====

(19)
Compound: BaHg2P
Source: the Alexandria database
Functional: PBEsol
Structure: optimized geometry

Unit cell a=7.4926 b=7.4926 c=7.4926 alpha=90.00 beta=90.00 gamma=90.00
Element x y z (fractional)
Ba 0.0000 0.0000 0.0000
Ba 0.0000 0.5000 0.5000
Ba 0.5000 0.0000 0.5000
Ba 0.5000 0.5000 0.0000
Hg 0.0000 0.0000 0.5000
Hg 0.0000 0.5000 0.0000
Hg 0.2500 0.2500 0.7500
Hg 0.2500 0.7500 0.2500
Hg 0.5000 0.0000 0.0000
Hg 0.5000 0.5000 0.5000
Hg 0.7500 0.2500 0.2500
Hg 0.7500 0.7500 0.7500
P 0.2500 0.2500 0.2500
P 0.2500 0.7500 0.7500
P 0.7500 0.2500 0.7500
P 0.7500 0.7500 0.2500

Results
E_form = -30.23 kJ/mol of atoms
SG = No. 216

=====

(20)
Compound: CuRe2NiAs
Source: the Alexandria database
Functional: PBEsol
Structure: optimized geometry

Unit cell a=4.4101 b=4.4101 c=4.2006 alpha=90.00 beta=90.00 gamma=90.00
Element x y z (fractional)
Cu 0.0000 0.0000 0.0000
Re 0.0000 0.5000 0.5000
Re 0.5000 0.0000 0.5000
Ni 0.0000 0.0000 0.5000
As 0.5000 0.5000 0.0000

Results
E_form = 154.32 kJ/mol of atoms
SG = No. 123

=====

| no. | uncorrected energy (eV/atom) |
| --- | --- |
| 1 | -3.668 |
| 2 | -1.485 |
| 3 | -6.239 |
| 4 | -5.172 |
| 5 | -4.348 |
| 6 | -4.439 |
| 7 | -2.081 |
| 8 | -1.351 |
| 9 | -6.984 |
| 10 | -2.044 |
| 11 | -5.995 |
| 12 | -9.444 |
| 13 | -3.321 |
| 14 | -7.549 |
| 15 | -3.072 |
| 16 | -9.829 |
| 17 | -4.515 |
| 18 | -2.024 |
| 19 | -2.582 |
| 20 | -6.853 |